1.
HfTiN | PBE | optimized geometry

The space-group type is C2/m, No. 12. Its energy relative to the elements, uncorrected is -1.25 eV/atom. Its energy above the most stable polymorph in this dataset is 0.000 eV/atom.

```
HfTiN
1.0
5.457 -1.581 0.000
5.457 1.581 0.000
-2.090 0.000 4.890
Hf Ti N
2 2 2
Direct
0.120 0.120 0.314
0.880 0.880 0.686
0.363 0.363 0.174
0.637 0.637 0.826
0.250 0.250 0.753
0.750 0.750 0.247
```

=====

2.
HfTi4N | PBE | optimized geometry

The space-group type is C2/c, No. 15. Its energy relative to the elements, uncorrected is -0.62 eV/atom.

```
HfTi4N
1.0
6.644 -2.618 0.000
6.644 2.618 0.000
-1.511 0.000 5.494
Hf Ti N
2 8 2
Direct
0.100 0.900 0.750
0.900 0.100 0.250
0.135 0.282 0.660
0.282 0.135 0.160
0.309 0.487 0.056
0.487 0.309 0.556
0.513 0.691 0.444
0.691 0.513 0.944
0.718 0.865 0.840
0.865 0.718 0.340
0.000 0.500 0.000
0.500 0.000 0.500
```